Record 1
# PuAgGeO5 (GGA-PBE, relaxed)
data_PuAgGeO5
_symmetry_space_group_name_H-M 'C 1 2/c 1'
_symmetry_Int_Tables_number 15
_symmetry_space_group_name_Hall '-C 2yc'
_cell_length_a 6.806
_cell_length_b 9.684
_cell_length_c 7.916
_cell_angle_alpha 90.00
_cell_angle_beta 113.74
_cell_angle_gamma 90.00
loop_
_atom_site_label
_atom_site_type_symbol
_atom_site_fract_x
_atom_site_fract_y
_atom_site_fract_z
_atom_site_occupancy
Pu1 Pu 0.000 0.000 0.000 1
Ag1 Ag 0.000 0.326 0.250 1
Ge1 Ge 0.000 0.307 0.750 1
O1 O 0.000 0.070 0.250 1
O2 O 0.127 0.200 0.639 1
O3 O 0.184 0.417 0.919 1
# Formation energy without anion corrections = -1.800 eV/atom
# M_tot = 3.00 μB/f.u.

***

Record 2
# Rb2AgGeO4 (GGA-PBE, relaxed)
data_Rb2AgGeO4
_symmetry_space_group_name_H-M 'F d d d'
_symmetry_Int_Tables_number 70
_cell_length_a 5.749
_cell_length_b 12.467
_cell_length_c 19.946
_cell_angle_alpha 90.00
_cell_angle_beta 90.00
_cell_angle_gamma 90.00
loop_
_symmetry_equiv_pos_as_xyz
'x,y,z'
'-x,-y,-z'
'-x+1/4,-y+1/4,z'
'x+1/4,y+1/4,-z'
'x,-y+1/4,-z+1/4'
'-x,y+1/4,z+1/4'
'-x+1/4,y,-z+1/4'
'x+1/4,-y,z+1/4'
'x,y+1/2,z+1/2'
'-x,-y+1/2,-z+1/2'
'-x+1/4,-y+3/4,z+1/2'
'x+1/4,y+3/4,-z+1/2'
'x,-y+3/4,-z+3/4'
'-x,y+3/4,z+3/4'
'-x+1/4,y+1/2,-z+3/4'
'x+1/4,-y+1/2,z+3/4'
'x+1/2,y,z+1/2'
'-x+1/2,-y,-z+1/2'
'-x+3/4,-y+1/4,z+1/2'
'x+3/4,y+1/4,-z+1/2'
'x+1/2,-y+1/4,-z+3/4'
'-x+1/2,y+1/4,z+3/4'
'-x+3/4,y,-z+3/4'
'x+3/4,-y,z+3/4'
'x+1/2,y+1/2,z'
'-x+1/2,-y+1/2,-z'
'-x+3/4,-y+3/4,z'
'x+3/4,y+3/4,-z'
'x+1/2,-y+3/4,-z+1/4'
'-x+1/2,y+3/4,z+1/4'
'-x+3/4,y+1/2,-z+1/4'
'x+3/4,-y+1/2,z+1/4'
loop_
_atom_site_label
_atom_site_type_symbol
_atom_site_fract_x
_atom_site_fract_y
_atom_site_fract_z
_atom_site_occupancy
Rb1 Rb 0.125 0.125 0.306 1
Ag1 Ag 0.125 0.125 0.125 1
Ge1 Ge 0.125 0.125 0.625 1
O1 O 0.076 0.285 0.835 1
# Formation energy without anion corrections = -1.141 eV/atom
# M_tot = 1.04 μB/f.u.

***

Record 3
# Rb3AgGe4Se10O2 (GGA-PBE, relaxed)
data_Rb3AgGe4Se10O2
_symmetry_space_group_name_H-M 'P 1'
_symmetry_Int_Tables_number 1
_symmetry_space_group_name_Hall 'P 1'
_cell_length_a 8.758
_cell_length_b 8.960
_cell_length_c 10.230
_cell_angle_alpha 114.98
_cell_angle_beta 111.21
_cell_angle_gamma 93.96
loop_
_atom_site_label
_atom_site_type_symbol
_atom_site_fract_x
_atom_site_fract_y
_atom_site_fract_z
_atom_site_occupancy
Rb1 Rb 0.000 0.000 0.000 1
Rb2 Rb 0.067 0.593 0.412 1
Rb3 Rb 0.539 0.338 0.404 1
Ag1 Ag 0.758 0.864 0.209 1
Ge1 Ge 0.233 0.145 0.586 1
Ge2 Ge 0.470 0.002 0.889 1
Ge3 Ge 0.580 0.929 0.543 1
Ge4 Ge 0.692 0.389 0.881 1
Se1 Se 0.191 0.024 0.746 1
Se2 Se 0.306 0.944 0.387 1
Se3 Se 0.422 0.427 0.744 1
Se4 Se 0.446 0.914 0.064 1
Se5 Se 0.561 0.800 0.704 1
Se6 Se 0.629 0.701 0.337 1
Se7 Se 0.675 0.273 0.051 1
Se8 Se 0.791 0.200 0.693 1
Se9 Se 0.901 0.644 0.051 1
Se10 Se 0.984 0.185 0.407 1
O1 O 0.089 0.245 0.312 1
O2 O 0.763 0.614 0.442 1
# Formation energy without anion corrections = -0.588 eV/atom
# M_tot = 0.00 μB/f.u.